8
Lattice="-0.9699 -6.0008 0.0114 3.5027 2.6173 4.2227 -4.4139 3.8917 1.5238" Properties=species:S:1:pos:R:3 comment="GGA-PBE K2SrGeO4, relaxed" raw_formation_energy_mev_per_atom=-2006 e_tot_ev_per_atom=-5.547 pbc="T T T"
K 1.0386 -0.0645 3.5537
K 0.0000 0.0000 0.0000
Sr -2.9197 0.5727 2.2042
Ge -0.4556 3.2545 2.8732
O -1.1682 -1.0264 2.4448
O -1.8148 2.6578 1.8661
O 0.1353 -3.5899 2.6202
O -0.9146 2.9749 4.5847


5
Lattice="4.8269 0.0000 0.0000 0.0000 5.1194 0.0000 0.0000 0.0000 4.8269" Properties=species:S:1:pos:R:3 comment="GGA-PBE KSrGeO2, relaxed" raw_formation_energy_mev_per_atom=170 e_tot_ev_per_atom=-3.292 pbc="T T T"
Sr 2.4134 2.5597 2.4134
Ge 0.0000 2.5597 0.0000
K 0.0000 0.0000 0.0000
O 0.0000 0.0000 2.4134
O 2.4134 0.0000 0.0000


16
Lattice="-3.7286 -0.1228 0.3921 2.4629 -4.6266 4.0277 0.6762 8.1919 8.9965" Properties=species:S:1:pos:R:3 comment="GGA-PBE KSr2GeO4, relaxed" raw_formation_energy_mev_per_atom=-2113 e_tot_ev_per_atom=-5.727 pbc="T T T"
K 0.6239 5.2298 7.5709
K -1.2133 -1.7874 5.8454
Sr 0.8094 0.9048 7.9801
Sr -1.6869 -0.9513 1.6046
Sr -1.3989 2.5376 5.4362
Sr 1.0974 4.3938 11.8117
Ge -0.9651 3.0122 9.7097
Ge 0.3756 0.4303 3.7066
O 0.3936 -1.3651 3.3148
O -1.1490 2.7974 7.8938
O -0.9830 4.8076 10.1015
O 0.5595 0.6451 5.5225
O 0.3381 4.0960 4.4982
O 0.0000 0.0000 0.0000
O 0.9706 2.5145 10.0173
O -1.5601 0.9279 3.3990


64
Lattice="6.7526 0.0000 0.0000 0.0000 11.1600 0.0000 0.0000 0.0000 13.6040" Properties=species:S:1:pos:R:3 comment="GGA-PBE KTaGeO5, relaxed" raw_formation_energy_mev_per_atom=-2319 polymorph_energy_kj_per_mol_atoms=0.0 e_tot_ev_per_atom=-7.614 pbc="T T T"
K 5.2242 7.8192 5.0721
K 1.9555 4.8830 12.1079
K 1.4208 4.8830 5.3059
K 4.7971 10.4629 1.4961
K 1.8479 2.2393 1.7299
K 4.9048 7.8192 11.8741
K 1.5284 2.2393 8.5319
K 5.3318 10.4629 8.2981
Ta 1.7540 8.4061 3.3206
Ta 4.9986 2.8261 10.2834
Ta 1.6223 8.4061 10.1226
Ta 3.4041 0.0001 5.2126
Ta 3.3485 5.5801 8.3914
Ta 6.7248 0.0001 12.0146
Ta 0.0278 5.5801 1.5894
Ta 5.1303 2.8261 3.4814
Ge 4.5637 2.7654 6.8594
Ge 1.1874 8.3454 13.5466
Ge 5.5652 2.7654 0.0574
Ge 3.4176 5.5517 2.4748
Ge 3.3350 11.1317 11.1292
Ge 6.7114 5.5517 9.2768
Ge 2.1889 8.3454 6.7446
Ge 0.0413 11.1317 4.3272
O 6.3340 1.3654 10.7010
O 0.4186 6.9453 2.9030
O 3.7949 1.3654 3.8990
O 2.9577 6.9453 9.7050
O 3.0758 9.7465 3.8170
O 3.6768 4.1666 9.7869
O 0.3005 9.7465 10.6190
O 6.4521 4.1666 2.9850
O 3.6165 1.3764 10.0930
O 3.1361 6.9564 3.5110
O 6.5124 1.3764 3.2910
O 0.2402 6.9564 10.3130
O 0.2822 9.7551 3.2256
O 6.4705 4.1751 10.3783
O 3.0941 9.7551 10.0276
O 1.1913 8.6025 8.1844
O 3.6585 4.1751 3.5764
O 4.8293 5.8738 1.4764
O 1.4530 0.2939 5.3256
O 5.2996 5.8738 8.2784
O 5.3985 10.7128 5.3120
O 1.3541 5.1328 8.2919
O 4.7304 10.7128 12.1140
O 2.0222 5.1328 1.4900
O 3.3514 9.6504 6.5850
O 3.4012 4.0704 7.0190
O 0.0249 9.6504 13.3870
O 6.7277 4.0704 0.2170
O 6.5056 1.2666 13.5302
O 0.2470 6.8465 0.0737
O 3.6233 1.2666 6.7282
O 3.1293 6.8465 6.8757
O 1.2175 8.1321 5.2819
O 5.5351 2.5522 8.3220
O 2.1588 8.1321 12.0839
O 4.5939 2.5522 1.5201
O 4.5676 3.0225 12.2215
O 2.1850 8.6025 1.3824
O 5.5613 3.0225 5.4195
O 1.9233 0.2939 12.1276


16
Lattice="-5.3020 -0.6974 2.4225 3.5842 -3.3471 3.2274 1.9984 7.1678 1.5339" Properties=species:S:1:pos:R:3 comment="GGA-PBE KTaGeO5, relaxed" raw_formation_energy_mev_per_atom=-2287 polymorph_energy_kj_per_mol_atoms=3.1 e_tot_ev_per_atom=-7.582 pbc="T T T"
K 1.1683 -0.6858 3.3468
K -0.8877 3.8091 3.8370
Ta 0.9992 3.5839 0.7669
Ta 0.0000 0.0000 0.0000
Ge -2.0280 0.2673 3.0572
Ge 2.3087 2.8560 4.1265
O 3.6122 -1.4145 3.5681
O -3.3316 4.5379 3.6156
O -3.4366 -0.8095 3.2243
O 3.7173 3.9328 3.9594
O -2.5743 1.9270 2.7131
O 2.8550 1.1963 4.4706
O -1.0347 0.1924 4.5345
O 1.3154 2.9310 2.6492
O -0.9259 -0.2826 1.7698
O 1.2066 3.4059 5.4139


10
Lattice="5.6634 0.0000 0.0000 0.0000 5.2137 0.0000 0.0000 0.0000 5.2137" Properties=species:S:1:pos:R:3 comment="GGA-PBE K2TaGeO6, relaxed" raw_formation_energy_mev_per_atom=-1979 e_tot_ev_per_atom=-6.821 pbc="T T T"
K 0.3629 2.6068 0.0000
K 0.3629 0.0000 2.6068
Ta 3.2229 2.6068 2.6068
Ge 3.1864 0.0000 0.0000
O 3.7949 1.2660 1.2660
O 3.7949 1.2660 3.9477
O 1.4197 2.6068 2.6068
O 1.4494 0.0000 0.0000
O 3.7949 3.9477 3.9477
O 3.7949 3.9477 1.2660


14
Lattice="-4.4578 2.2735 -2.7070 -0.7641 -4.3575 3.5773 -1.0286 5.0591 5.9428" Properties=species:S:1:pos:R:3 comment="GGA-PBE K3TaGe2O8, relaxed" raw_formation_energy_mev_per_atom=-2034 e_tot_ev_per_atom=-6.608 pbc="T T T"
K -2.7460 1.5452 5.8198
K -3.5044 1.4300 0.9933
K 0.0000 0.0000 0.0000
Ta -0.5143 2.5296 2.9714
Ge -2.2674 -0.8091 3.0543
Ge -3.9831 3.7842 3.7587
O -2.0464 -1.8958 1.7778
O -4.2040 4.8710 5.0353
O -1.7364 -1.4774 4.6402
O -4.5141 4.4525 2.1729
O -1.3502 0.7249 2.8322
O -4.9003 2.2503 3.9808
O -3.9893 -0.3283 3.2721
O -2.2611 3.3035 3.5410


15
Lattice="6.7611 0.0000 0.0000 -3.3806 5.8559 -0.0212 0.0000 -3.8841 6.3179" Properties=species:S:1:pos:R:3 comment="GGA-PBE K3Tb3GeO8, relaxed" raw_formation_energy_mev_per_atom=-2492 e_tot_ev_per_atom=-6.590 pbc="T T T"
K 0.0000 0.0000 0.0000
K -1.6903 2.9279 -0.0106
K 1.6903 2.9279 -0.0106
Tb 3.3806 -1.9421 3.1590
Tb 1.6903 0.9858 3.1484
Tb -1.6903 0.9859 3.1484
Ge 0.0000 -1.9421 3.1590
O 0.0000 1.9577 1.9944
O 3.3806 0.0140 4.3023
O 3.3806 2.1968 2.0729
O 0.0000 -0.2251 4.2238
O 5.2783 -1.0900 2.0849
O -1.8977 3.0617 4.2118
O 1.4828 -1.0900 2.0849
O 1.8977 3.0617 4.2118


What is the formula in the eighth record?
K3Tb3GeO8


Copy entry 1 word for word.
8
Lattice="-0.9699 -6.0008 0.0114 3.5027 2.6173 4.2227 -4.4139 3.8917 1.5238" Properties=species:S:1:pos:R:3 comment="GGA-PBE K2SrGeO4, relaxed" raw_formation_energy_mev_per_atom=-2006 e_tot_ev_per_atom=-5.547 pbc="T T T"
K 1.0386 -0.0645 3.5537
K 0.0000 0.0000 0.0000
Sr -2.9197 0.5727 2.2042
Ge -0.4556 3.2545 2.8732
O -1.1682 -1.0264 2.4448
O -1.8148 2.6578 1.8661
O 0.1353 -3.5899 2.6202
O -0.9146 2.9749 4.5847